1.
InSbPb2 after structural relaxation, computed with PBE.

abc: 4.248 5.380 10.472
angles: 90.00 90.00 90.00
Fractional coordinates of all 8 atoms:
In 0.000 0.000 0.000
In 0.500 0.500 0.500
Sb 0.000 0.500 0.273
Sb 0.500 0.000 0.773
Pb 0.000 0.000 0.534
Pb 0.000 0.500 0.756
Pb 0.500 0.000 0.256
Pb 0.500 0.500 0.034

Output
**Space group**: Imm2 (44)
**E**: -3.5368 eV/atom
**Magnetization**: 0.00 μB/f.u.
**Raw formation energy**: 0.033 eV per atom

---

2.
InSbPb4 after structural relaxation, computed with PBE.

abc: 6.449 6.762 8.817
angles: 90.00 104.94 90.00
Fractional coordinates of all 12 atoms:
In 0.108 0.250 0.345
In 0.892 0.750 0.655
Sb 0.249 0.750 0.989
Sb 0.751 0.250 0.011
Pb 0.122 0.750 0.357
Pb 0.243 0.250 0.998
Pb 0.410 0.501 0.686
Pb 0.410 0.999 0.686
Pb 0.590 0.001 0.314
Pb 0.590 0.499 0.314
Pb 0.757 0.750 0.002
Pb 0.878 0.250 0.643

Output
**Space group**: P2_1/m (11)
**E**: -3.5691 eV/atom
**Magnetization**: 0.00 μB/f.u.
**Raw formation energy**: 0.047 eV per atom

---

3.
InSbPb6 after structural relaxation, computed with PBE.

abc: 7.069 11.734 5.960
angles: 90.00 90.00 90.00
Fractional coordinates of all 16 atoms:
In 0.000 0.000 0.000
In 0.500 0.500 0.000
Sb 0.000 0.500 0.000
Sb 0.500 0.000 0.000
Pb 0.000 0.239 0.500
Pb 0.000 0.761 0.500
Pb 0.238 0.500 0.500
Pb 0.250 0.250 0.000
Pb 0.250 0.750 0.000
Pb 0.262 0.000 0.500
Pb 0.500 0.261 0.500
Pb 0.500 0.739 0.500
Pb 0.738 0.000 0.500
Pb 0.750 0.250 0.000
Pb 0.750 0.750 0.000
Pb 0.762 0.500 0.500

Output
**Space group**: Cmmm (65)
**E**: -3.5941 eV/atom
**Magnetization**: 0.00 μB/f.u.
**Raw formation energy**: 0.045 eV per atom

---

4.
In2SbPb after structural relaxation, computed with PBE.

abc: 3.407 3.407 34.320
angles: 90.00 90.00 120.00
Fractional coordinates of all 12 atoms:
In 0.000 0.000 0.246
In 0.000 0.000 0.754
In 0.333 0.667 0.420
In 0.333 0.667 0.913
In 0.667 0.333 0.087
In 0.667 0.333 0.580
Sb 0.000 0.000 0.500
Sb 0.333 0.667 0.167
Sb 0.667 0.333 0.833
Pb 0.000 0.000 0.000
Pb 0.333 0.667 0.667
Pb 0.667 0.333 0.333

Output
**Space group**: R-3m (166)
**E**: -3.2499 eV/atom
**Magnetization**: 0.00 μB/f.u.
**Raw formation energy**: 0.077 eV per atom

---

5.
In2SbPb after structural relaxation, computed with PBE.

abc: 3.363 5.359 6.587
angles: 90.00 94.38 90.00
Fractional coordinates of all 4 atoms:
In 0.000 0.000 0.000
In 0.488 0.500 0.177
Sb 0.609 0.000 0.427
Pb 0.864 0.500 0.711

Output
**Space group**: Pm (6)
**E**: -3.2808 eV/atom
**Magnetization**: 0.00 μB/f.u.
**Raw formation energy**: 0.046 eV per atom

---

6.
In2SbPb after structural relaxation, computed with PBE.

abc: 4.312 5.092 10.586
angles: 90.00 90.00 90.00
Fractional coordinates of all 8 atoms:
In 0.000 0.000 0.237
In 0.000 0.000 0.763
In 0.500 0.500 0.263
In 0.500 0.500 0.737
Sb 0.000 0.500 0.500
Sb 0.500 0.000 0.000
Pb 0.000 0.500 0.000
Pb 0.500 0.000 0.500

Output
**Space group**: Immm (71)
**E**: -3.2927 eV/atom
**Magnetization**: 0.00 μB/f.u.
**Raw formation energy**: 0.034 eV per atom

---

7.
InSbPb2 after structural relaxation, computed with PBE.

abc: 3.628 3.628 9.002
angles: 90.00 90.00 90.00
Fractional coordinates of all 4 atoms:
In 0.000 0.000 0.000
Sb 0.000 0.000 0.500
Pb 0.500 0.500 0.257
Pb 0.500 0.500 0.743

Output
**Space group**: P4/mmm (123)
**E**: -3.5079 eV/atom
**Magnetization**: 0.00 μB/f.u.
**Raw formation energy**: 0.062 eV per atom

---

8.
InSbPb2 after structural relaxation, computed with PBE.

abc: 3.477 3.477 34.293
angles: 90.00 90.00 120.00
Fractional coordinates of all 12 atoms:
In 0.000 0.000 0.000
In 0.333 0.667 0.667
In 0.667 0.333 0.333
Sb 0.000 0.000 0.742
Sb 0.333 0.667 0.409
Sb 0.667 0.333 0.076
Pb 0.000 0.000 0.247
Pb 0.000 0.000 0.491
Pb 0.333 0.667 0.157
Pb 0.333 0.667 0.914
Pb 0.667 0.333 0.581
Pb 0.667 0.333 0.824

Output
**Space group**: R3m (160)
**E**: -3.4838 eV/atom
**Magnetization**: 0.00 μB/f.u.
**Raw formation energy**: 0.086 eV per atom